Record 1
DFT (PBE-GGA) results for an optimized crystal structure of BaEuZr4O12.

Formation energy without anion corrections in eV/atom: -2.682
Crystal system: orthorhombic

Lattice parameters (Å, degrees): 5.891 5.891 8.335 90.00 90.00 90.46
Each line ends with the local moment (μB).
Sites, in units of the cell vectors:
O 0.193 0.193 0.308  0.01
Zr 0.013 0.484 0.745  -0.04
Zr 0.013 0.484 0.255  -0.04
Ba 0.531 0.531 0.000  -0.01
O 0.717 0.284 0.246  0.21
Zr 0.484 0.013 0.255  -0.04
O 0.193 0.193 0.692  0.01
O 0.568 0.991 0.500  0.14
O 0.484 0.025 0.000  0.24
O 0.284 0.717 0.246  0.21
O 0.779 0.779 0.250  0.39
O 0.284 0.717 0.754  0.21
O 0.717 0.284 0.754  0.21
Eu 0.963 0.963 0.500  6.30
O 0.025 0.484 0.000  0.24
O 0.779 0.779 0.750  0.39
Zr 0.484 0.013 0.745  -0.04
O 0.991 0.568 0.500  0.14

Record 2
DFT (PBE-GGA) results for an optimized crystal structure of Tb4Pm2Sm5.

Crystal system: monoclinic
Polymorph energy (0 for the lowest one) in meV per atom: 0
Energy of formation from the pure elements in eV/atom: 0.142

Lattice parameters (Å, degrees): 3.485 8.836 12.189 96.77 98.22 90.00
Sites, in units of the cell vectors:
Sm 0.859 0.880 0.719
Sm 0.141 0.120 0.281
Tb 0.323 0.528 0.646
Sm 0.768 0.177 0.536
Pm 0.908 0.264 0.817
Pm 0.092 0.736 0.183
Tb 0.677 0.472 0.354
Tb 0.954 0.638 0.909
Sm 0.232 0.823 0.464
Sm 0.500 0.000 0.000
Tb 0.046 0.362 0.091

Record 3
DFT (PBE-GGA) results for an optimized crystal structure of Ac4GaI5.

Formation energy without anion corrections in eV/atom: -1.174
Crystal system: monoclinic

Lattice parameters (Å, degrees): 4.643 9.538 10.621 102.34 102.63 90.00
Sites, in units of the cell vectors:
Ac 0.000 0.779 0.000
I 0.500 0.500 0.000
I 0.831 0.662 0.663
Ac 0.349 0.923 0.697
Ac 0.651 0.077 0.303
I 0.169 0.338 0.337
Ga 0.500 0.000 0.000
I 0.172 0.827 0.345
Ac 0.000 0.221 0.000
I 0.828 0.173 0.655

Record 4
DFT (PBE-GGA) results for an optimized crystal structure of NaHg2W.

Crystal system: cubic
Polymorph energy (0 for the lowest one) in meV per atom: 0
Energy of formation from the pure elements in eV/atom: 0.806

Lattice parameters (Å, degrees): 4.868 4.868 4.868 60.00 60.00 60.00
Each line ends with the local moment (μB).
Sites, in units of the cell vectors:
Na 0.000 0.000 0.000  -0.01
Hg 0.750 0.750 0.750  0.02
W 0.500 0.500 0.500  1.89
Hg 0.250 0.250 0.250  0.02

Record 5
DFT (PBE-GGA) results for an optimized crystal structure of SrMg2HgH.

Crystal system: tetragonal

Lattice parameters (Å, degrees): 4.706 4.706 4.906 90.00 90.00 90.00
Sites, in units of the cell vectors:
H 0.000 0.000 0.000
Sr 0.000 0.000 0.500
Hg 0.500 0.500 0.500
Mg 0.000 0.500 0.000
Mg 0.500 0.000 0.000

Record 6
DFT (PBE-GGA) results for an optimized crystal structure of CaMn2Re.

Crystal system: monoclinic
Polymorph energy (0 for the lowest one) in meV per atom: 254
Energy of formation from the pure elements in eV/atom: 0.627

Lattice parameters (Å, degrees): 5.161 5.161 4.896 72.19 72.19 30.31
Each line ends with the local moment (μB).
Sites, in units of the cell vectors:
Ca 0.741 0.741 0.776  -0.02
Mn 0.266 0.266 0.269  1.10
Mn 0.959 0.959 0.029  1.61
Re 0.533 0.533 0.426  -0.30

For reference, density of states at the Fermi level by record: 1.045, 1.672, 0.549, 0.506, 0.372, 1.073 states/eV per atom.
For reference, E by record: -154.16, -50.06, -38.95, -11.65, -9.42, -30.28 eV/cell.